Ce2VO (GGA+U, optimized geometry); calculated total energy = -6.75 eV/atom
1.0
-1.9373 -1.4310 2.0832
1.2185 -1.7516 2.3639
0.0417 6.4636 6.9127
O Ce V
1 2 1
Direct
0.5000 0.5000 0.5000
0.8916 0.8916 0.3252
0.1084 0.1084 0.6748
0.0000 0.0000 0.0000